# 1
The following is a PBE-GGA calculation of Nd7Ho2Tm3 after structural relaxation, from Alexandria via LeMat-Bulk.

Lattice parameters (Å, degrees): 5.5059 6.2934 12.2766 89.99 90.00 90.00
Last column: nearest neighbours and their distance in Å.
Element x y z (fractional)
Nd 0.0000 0.0000 0.0000  6 Nd 3.52-3.60
Nd 0.0000 0.5558 0.8157  2 Ho 3.16
Nd 0.5000 0.0906 0.1724  2 Ho 3.25-3.54, 3 Tm 3.33-3.60, 5 Nd 3.52-3.61
Nd 0.0000 0.4442 0.1843  2 Ho 3.16
Nd 0.5000 0.2449 0.4557  2 Ho 3.21-3.41, 2 Nd 3.27-3.39
Nd 0.5000 0.9094 0.8276  2 Ho 3.25-3.54, 3 Tm 3.33-3.60, 5 Nd 3.52-3.61
Nd 0.5000 0.7551 0.5443  2 Ho 3.21-3.41, 2 Nd 3.27-3.39
Ho 0.5000 0.3849 0.7242  6 Nd 3.16-3.54, 3 Tm 3.46-3.51
Ho 0.5000 0.6151 0.2758  6 Nd 3.16-3.54, 3 Tm 3.46-3.51
Tm 0.5000 0.5000 0.0000  6 Nd 3.33-3.58, 2 Ho 3.46
Tm 0.0000 0.9337 0.3441  2 Ho 3.51, 8 Nd 3.60-3.86, 1 Tm 3.92
Tm 0.0000 0.0663 0.6559  2 Ho 3.51, 8 Nd 3.60-3.86, 1 Tm 3.92

Computed properties:
The excess energy over the best structure of this formula in the dataset is 0.163 eV/atom.

# 2
The following is a PBE-GGA calculation of Nd2Ho3Tm3 after structural relaxation, from Alexandria via LeMat-Bulk.

Lattice parameters (Å, degrees): 5.0300 5.0321 10.6177 103.72 103.70 90.00
Last column: nearest neighbours and their distance in Å.
Element x y z (fractional)
Tm 0.1225 0.1225 0.2450  6 Ho 3.51-3.56, 2 Tm 3.51, 4 Nd 3.58
Tm 0.0000 0.5000 0.0000  8 Ho 3.51-3.56, 4 Tm 3.51
Tm 0.8775 0.8775 0.7550  6 Ho 3.51-3.56, 2 Tm 3.51, 4 Nd 3.58
Ho 0.3776 0.3776 0.7553  6 Tm 3.51-3.56, 2 Ho 3.51, 4 Nd 3.58-3.59
Ho 0.6224 0.6224 0.2447  6 Tm 3.51-3.56, 2 Ho 3.51, 4 Nd 3.58-3.59
Ho 0.5000 0.0000 0.0000  4 Ho 3.51, 8 Tm 3.51-3.56
Nd 0.2499 0.7499 0.4999  4 Nd 3.56, 4 Tm 3.58, 4 Ho 3.58-3.59
Nd 0.7501 0.2501 0.5001  4 Nd 3.56, 4 Tm 3.58, 4 Ho 3.58-3.59

Computed properties:
The excess energy over the best structure of this formula in the dataset is 0.000 eV/atom.

# 3
The following is a PBE-GGA calculation of Nd8Ho2Tm3 after structural relaxation, from Alexandria via LeMat-Bulk.

Lattice parameters (Å, degrees): 5.7099 7.7267 10.8776 110.80 90.02 90.00
Last column: nearest neighbours and their distance in Å.
Element x y z (fractional)
Tm 0.0000 0.2860 0.0000  3 Tm 3.31-3.61, 6 Nd 3.44-3.57
Tm 0.0000 0.7140 0.0000  3 Tm 3.31-3.61, 6 Nd 3.44-3.57
Tm 0.5000 0.0000 0.0000  4 Nd 3.13
Nd 0.4998 0.1906 0.7892  1 Tm 3.13, 1 Nd 3.15
Nd 0.0005 0.8702 0.7403  2 Tm 3.44, 2 Ho 3.62, 4 Nd 3.69-3.70
Nd 0.9995 0.1298 0.2597  2 Tm 3.44, 2 Ho 3.62, 4 Nd 3.69-3.70
Nd 0.9992 0.3266 0.6532  2 Ho 3.36, 4 Nd 3.54
Nd 0.5002 0.8094 0.2108  1 Tm 3.13, 1 Nd 3.15
Nd 0.4998 0.5985 0.7892  1 Tm 3.13, 1 Nd 3.15
Nd 0.5002 0.4015 0.2108  1 Tm 3.13, 1 Nd 3.15
Nd 0.0008 0.6734 0.3468  2 Ho 3.36, 4 Nd 3.54
Ho 0.4989 0.2392 0.4784  8 Nd 3.36-3.62
Ho 0.5011 0.7608 0.5216  8 Nd 3.36-3.62

Computed properties:
Its final energy is -58.11 eV for the cell shown.

# 4
The following is a PBE-GGA calculation of Nd5Ho12Tm2 after structural relaxation, from Alexandria via LeMat-Bulk.

Lattice parameters (Å, degrees): 6.0132 9.7790 12.1105 119.34 95.58 91.30
Last column: nearest neighbours and their distance in Å.
Element x y z (fractional)
Nd 0.0000 0.0000 0.5000  6 Ho 3.22-3.47
Nd 0.5057 0.6240 0.6666  8 Ho 3.43-3.66, 1 Tm 3.47, 1 Nd 3.54
Nd 0.9012 0.3104 0.8456  7 Ho 3.35-3.65
Nd 0.0988 0.6896 0.1544  7 Ho 3.35-3.65
Nd 0.4943 0.3760 0.3334  8 Ho 3.43-3.66, 1 Tm 3.47, 1 Nd 3.54
Ho 0.8352 0.0387 0.2229  4 Ho 3.25-3.54, 3 Tm 3.30-3.54, 2 Nd 3.55-3.61
Ho 0.5693 0.9318 0.6091  2 Nd 3.22-3.43, 4 Ho 3.25-3.54, 1 Tm 3.57
Ho 0.9597 0.3401 0.1595  2 Tm 3.40-3.54, 5 Ho 3.40-3.78, 4 Nd 3.53-3.65
Ho 0.4300 0.3308 0.0143  6 Ho 3.45-3.58, 2 Tm 3.53-3.66, 4 Nd 3.55-3.78
Ho 0.9350 0.3545 0.5363  3 Nd 3.31-3.62, 4 Ho 3.40-3.51
Ho 0.0403 0.6599 0.8405  2 Tm 3.40-3.54, 5 Ho 3.40-3.78, 4 Nd 3.53-3.65
Ho 0.6128 0.6907 0.2886  4 Nd 3.35-3.48, 5 Ho 3.46-3.55
Ho 0.1648 0.9613 0.7771  4 Ho 3.25-3.54, 3 Tm 3.30-3.54, 2 Nd 3.55-3.61
Ho 0.4307 0.0682 0.3909  2 Nd 3.22-3.43, 4 Ho 3.25-3.54, 1 Tm 3.57
Ho 0.3872 0.3093 0.7114  4 Nd 3.35-3.48, 5 Ho 3.46-3.55
Ho 0.5700 0.6692 0.9857  6 Ho 3.45-3.58, 2 Tm 3.53-3.66, 4 Nd 3.55-3.78
Ho 0.0650 0.6455 0.4637  3 Nd 3.31-3.62, 4 Ho 3.40-3.51
Tm 0.2832 0.0131 0.0783  8 Ho 3.30-3.66, 2 Tm 3.31-3.67, 1 Nd 3.47
Tm 0.7168 0.9869 0.9217  8 Ho 3.30-3.66, 2 Tm 3.31-3.67, 1 Nd 3.47

Computed properties:
The excess energy over the best structure of this formula in the dataset is 0.000 eV/atom.

# 5
The following is a PBE-GGA calculation of NdHo3Tm5 after structural relaxation, from Alexandria via LeMat-Bulk.

Lattice parameters (Å, degrees): 9.1637 10.4220 7.1218 109.98 90.00 116.08
Last column: nearest neighbours and their distance in Å.
Element x y z (fractional)
Tm 0.4830 0.3267 0.1652  5 Tm 3.26-3.59, 1 Nd 3.34, 4 Ho 3.44-3.55
Tm 0.1563 0.6734 0.8387  5 Tm 3.26-3.59, 1 Nd 3.34, 4 Ho 3.44-3.55
Tm 0.5170 0.6733 0.8348  5 Tm 3.26-3.59, 1 Nd 3.34, 4 Ho 3.44-3.55
Tm 0.8438 0.3267 0.6652  5 Tm 3.26-3.59, 1 Nd 3.34, 4 Ho 3.44-3.55
Tm 0.4830 0.3266 0.6613  5 Tm 3.26-3.59, 1 Nd 3.34, 4 Ho 3.44-3.55
Tm 0.1562 0.6733 0.3348  5 Tm 3.26-3.59, 1 Nd 3.34, 4 Ho 3.44-3.55
Tm 0.3417 0.0000 0.7500  3 Nd 3.29-3.58, 4 Tm 3.36, 2 Ho 3.60
Tm 0.5170 0.6734 0.3387  5 Tm 3.26-3.59, 1 Nd 3.34, 4 Ho 3.44-3.55
Tm 0.8437 0.3266 0.1613  5 Tm 3.26-3.59, 1 Nd 3.34, 4 Ho 3.44-3.55
Tm 0.6583 0.0000 0.2500  3 Nd 3.29-3.58, 4 Tm 3.36, 2 Ho 3.60
Nd 0.7011 0.0000 0.7500  2 Ho 3.27, 7 Tm 3.29-3.58
Nd 0.2989 0.0000 0.2500  2 Ho 3.27, 7 Tm 3.29-3.58
Ho 0.1898 0.3750 0.9374  8 Tm 3.44-3.55, 4 Ho 3.56-3.70
Ho 0.1852 0.3750 0.4374  8 Tm 3.44-3.55, 4 Ho 3.56-3.70
Ho 0.0000 0.0000 0.5000  2 Nd 3.27, 2 Ho 3.56, 2 Tm 3.60
Ho 0.0000 0.0000 0.0000  2 Nd 3.27, 2 Ho 3.56, 2 Tm 3.60
Ho 0.8102 0.6250 0.0626  8 Tm 3.44-3.55, 4 Ho 3.56-3.70
Ho 0.8148 0.6250 0.5626  8 Tm 3.44-3.55, 4 Ho 3.56-3.70

Computed properties:
The excess energy over the best structure of this formula in the dataset is 0.000 eV/atom.

# 6
The following is a PBE-GGA calculation of Nd9HoTm2 after structural relaxation, from Alexandria via LeMat-Bulk.

Lattice parameters (Å, degrees): 5.1393 5.1393 15.4205 90.00 90.00 90.00
Last column: nearest neighbours and their distance in Å.
Element x y z (fractional)
Tm 0.0000 0.0000 0.3337  12 Nd 3.63
Tm 0.0000 0.0000 0.6663  12 Nd 3.63
Nd 0.0000 0.5000 0.5000  8 Nd 3.63, 4 Tm 3.63
Nd 0.0000 0.5000 0.8328  2 Tm 3.63, 8 Nd 3.63-3.64, 2 Ho 3.64
Nd 0.5000 0.0000 0.1672  2 Tm 3.63, 8 Nd 3.63-3.64, 2 Ho 3.64
Nd 0.5000 0.0000 0.8328  2 Tm 3.63, 8 Nd 3.63-3.64, 2 Ho 3.64
Nd 0.5000 0.5000 0.0000  4 Ho 3.63, 8 Nd 3.64
Nd 0.5000 0.5000 0.6662  8 Nd 3.63, 4 Tm 3.63
Nd 0.0000 0.5000 0.1672  2 Tm 3.63, 8 Nd 3.63-3.64, 2 Ho 3.64
Nd 0.5000 0.0000 0.5000  8 Nd 3.63, 4 Tm 3.63
Nd 0.5000 0.5000 0.3338  8 Nd 3.63, 4 Tm 3.63
Ho 0.0000 0.0000 0.0000  12 Nd 3.63-3.64

Computed properties:
Its final energy is -56.25 eV for the cell shown.